# 1
A geometry-optimized CaPrPdPt structure, computed with GGA-PBE.

Output
Theoretical density in g cm⁻³: 8.765
ΔE_f in eV/atom: -0.8627

abc: 5.056 5.056 5.056
angles: 60.00 60.00 60.00
Fractional positions:
Pr  0.000  0.000  0.000
Ca  0.500  0.500  0.500
Pd  0.250  0.250  0.250
Pt  0.750  0.750  0.750

# 2
A geometry-optimized CaPrPdPt structure, computed with GGA-PBE.

Output
Theoretical density in g cm⁻³: 8.274
ΔE_f in eV/atom: -0.8868

abc: 3.964 4.518 5.759
angles: 90.00 110.13 90.00
Fractional positions:
Ca  0.139  0.000  0.277
Pr  0.860  0.500  0.721
Pd  0.419  0.000  0.839
Pt  0.581  0.500  0.163

# 3
A geometry-optimized CaPrPdRu structure, computed with GGA-PBE.

Output
Theoretical density in g cm⁻³: 7.377
ΔE_f in eV/atom: -0.2455

abc: 4.982 4.982 4.982
angles: 60.00 60.00 60.00
Fractional positions:
Pr  0.000  0.000  0.000
Ru  0.250  0.250  0.250
Ca  0.500  0.500  0.500
Pd  0.750  0.750  0.750